# 1
This record from Alexandria describes crystalline CsGa2CuTe4 at its relaxed geometry. The functional is PBE.

Output
Calculated density (Mg/m³): 4.6
E_form (uncorrected) (meV/atom): -231
V (A^3/atom): 38.19
Spin magnetization (Bohr magnetons per cell): 0.00

POSCAR file:
```
CsGa2CuTe4
1.0
-3.3553 4.5704 4.9802
3.3553 -4.5704 4.9802
3.3553 4.5704 -4.9802
Cs Ga Cu Te
1 2 1 4
Cartesian
0.0000 0.0000 0.0000
3.3553 0.0000 3.4567
0.0000 4.5704 1.5234
0.0000 0.0000 4.9802
1.9355 3.0148 -1.6183
1.4198 -1.5556 6.5984
1.4198 1.5556 3.3619
1.9355 6.1260 1.6183
```

=====

# 2
This record from Alexandria describes crystalline CsGaCuTe2 at its relaxed geometry. The functional is PBE.

Output
Calculated density (Mg/m³): 4.8
E_form (uncorrected) (meV/atom): -404
V (A^3/atom): 36.16
N(E_F) (states/eV/f.u.): 1.71
Spin magnetization (Bohr magnetons per cell): 0.00

POSCAR file:
```
CsGaCuTe2
1.0
3.4520 -7.5441 0.0000
3.4520 7.5441 0.0000
0.0000 0.0000 6.9421
Cs Ga Cu Te
2 2 2 4
Cartesian
3.4520 3.7720 5.2911
3.4520 -3.7720 1.6510
1.7260 0.0000 3.4710
5.1780 0.0000 3.4710
0.0000 0.0000 0.0000
3.4520 0.0000 0.0000
3.4520 5.9405 1.8566
3.4520 1.6036 1.8566
3.4520 -1.6036 5.0855
3.4520 -5.9405 5.0855
```